(1)
# Cu2AgRh2

A relaxed Cu2AgRh2 crystal (GGA-PBE, the Alexandria database).

Calculated values
The space-group type is P4/mbm, No. 127.

a = 7.3019 Å, b = 7.3019 Å, c = 2.7338 Å
α = 90.00°, β = 90.00°, γ = 90.00°
Fractional positions:
1 Rh 0.3380 0.1620 0.5000
2 Cu 0.8670 0.6330 0.0000
3 Ag 0.5000 0.5000 0.0000
4 Cu 0.6330 0.1330 0.0000
5 Ag 0.0000 0.0000 0.0000
6 Cu 0.3670 0.8670 0.0000
7 Cu 0.1330 0.3670 0.0000
8 Rh 0.1620 0.6620 0.5000
9 Rh 0.6620 0.8380 0.5000
10 Rh 0.8380 0.3380 0.5000



(2)
# Cu2AgRh

A relaxed Cu2AgRh crystal (GGA-PBE, the Alexandria database).

Calculated values
The space-group type is Imm2, No. 44.

a = 5.1850 Å, b = 5.1850 Å, c = 5.1850 Å
α = 148.25°, β = 129.38°, γ = 61.00°
Fractional positions:
1 Cu 0.7590 0.2590 0.5000
2 Rh 0.5130 0.5130 0.0000
3 Cu 0.9871 0.9871 0.0000
4 Ag 0.2409 0.7409 0.5000



Number 1: energy relative to the lowest polymorph listed for this composition 0.000 eV per atom, energy relative to the elements 5.95 kcal/mol of atoms. Number 2: energy relative to the lowest polymorph listed for this composition 0.042 eV per atom, energy relative to the elements 3.42 kcal/mol of atoms.